{
  "formula": "CeNd2Pb2",
  "functional": "PBE",
  "state": "relaxed",
  "lattice_angstrom": [[-4.4682, 6.1129, 3.2218], [4.4682, -6.1129, 3.2218], [4.4682, 6.1129, -3.2218]],
  "species": ["Ce", "Ce", "Nd", "Nd", "Nd", "Nd", "Pb", "Pb", "Pb", "Pb"],
  "frac_coords": [[0.2500, 0.2500, 0.0000], [0.7500, 0.7500, 0.0000], [0.1421, 0.6406, 0.7827], [0.3579, 0.1406, 0.4986], [0.6421, 0.8594, 0.5014], [0.8579, 0.3594, 0.2173], [0.1188, 0.2790, 0.3978], [0.3812, 0.7790, 0.1601], [0.6188, 0.2210, 0.8399], [0.8812, 0.7210, 0.6022]],
  "dos_ef_per_ev_cell": 16.6,
  "formation_energy_kj_per_mol_atoms": -30.9,
  "total_energy_ev_per_atom": -4.897
}

---

{
  "formula": "CePrNdPb",
  "functional": "PBE",
  "state": "relaxed",
  "lattice_angstrom": [[0.0000, 3.9531, 3.9531], [3.9531, 0.0000, 3.9531], [3.9531, 3.9531, 0.0000]],
  "species": ["Ce", "Pr", "Nd", "Pb"],
  "frac_coords": [[0.0000, 0.0000, 0.0000], [0.7500, 0.7500, 0.7500], [0.2500, 0.2500, 0.2500], [0.5000, 0.5000, 0.5000]],
  "dos_ef_per_ev_cell": 8.8,
  "formation_energy_kj_per_mol_atoms": -9.5,
  "total_energy_ev_per_atom": -4.896
}

---

{
  "formula": "CeNdRuPb",
  "functional": "PBE",
  "state": "relaxed",
  "lattice_angstrom": [[3.4331, 0.0000, 0.0000], [0.0000, 3.4331, 0.0000], [0.0000, 0.0000, 8.6416]],
  "species": ["Ce", "Nd", "Ru", "Pb"],
  "frac_coords": [[0.0000, 0.0000, 0.0000], [0.0000, 0.0000, 0.4079], [0.5000, 0.5000, 0.1900], [0.5000, 0.5000, 0.7051]],
  "dos_ef_per_ev_cell": 4.8,
  "formation_energy_kj_per_mol_atoms": -35.4,
  "total_energy_ev_per_atom": -6.289
}

---

{
  "formula": "CeNd3Pb2S",
  "functional": "PBE",
  "state": "relaxed",
  "lattice_angstrom": [[-2.6155, 2.6378, 8.3273], [2.6155, -2.6378, 8.3273], [2.6155, 2.6378, -8.3273]],
  "species": ["Ce", "Nd", "Nd", "Nd", "Pb", "Pb", "S"],
  "frac_coords": [[0.0000, 0.0000, 0.0000], [0.1700, 0.6700, 0.5000], [0.5000, 0.5000, 0.0000], [0.8300, 0.3300, 0.5000], [0.3648, 0.8648, 0.5000], [0.6352, 0.1352, 0.5000], [0.0000, 0.5000, 0.5000]],
  "dos_ef_per_ev_cell": 8.6,
  "raw_formation_energy_ev_per_atom": -0.761,
  "total_energy_ev_per_atom": -5.302
}